Record 1
A relaxed structure of Zr2CdW. Source: Alexandria via LeMat-Bulk, functional GGA-PBE.

Output
- SG = I-42d

Cell lengths 10.5940, 10.5940, 10.5940 Å; angles 157.53, 157.53, 31.99 degrees
Atoms (fractional coordinates):
Zr 0.1121 0.6250 0.9871
Zr 0.3750 0.3621 0.4871
Zr 0.6379 0.1250 0.0129
Zr 0.8750 0.8879 0.5129
Cd 0.2500 0.7500 0.5000
Cd 0.5000 0.5000 0.0000
W 0.0000 0.0000 0.0000
W 0.7500 0.2500 0.5000

Record 2
A relaxed structure of KPmBeS3. Source: Alexandria via LeMat-Bulk, functional GGA-PBE.

Output
- SG = P2_1/m

Cell lengths 9.0289, 3.9491, 9.0972 Å; angles 90.00, 106.09, 90.00 degrees
Atoms (fractional coordinates):
K 0.1886 0.2500 0.2236
K 0.8114 0.7500 0.7764
Pm 0.3365 0.7500 0.8424
Pm 0.6635 0.2500 0.1576
Be 0.0727 0.2500 0.6023
Be 0.9273 0.7500 0.3977
S 0.1141 0.2500 0.8364
S 0.1606 0.7500 0.5231
S 0.4467 0.7500 0.1607
S 0.5533 0.2500 0.8393
S 0.8394 0.2500 0.4769
S 0.8859 0.7500 0.1636

Record 3
A relaxed structure of CsNbH2Cl8. Source: Alexandria via LeMat-Bulk, functional GGA-PBE.

Output
- SG = P-1

Cell lengths 6.7727, 6.7902, 9.5875 Å; angles 72.93, 75.08, 74.45 degrees
Atoms (fractional coordinates):
Cs 0.0000 0.0000 0.0000
Nb 0.0000 0.0000 0.5000
H 0.4520 0.7212 0.2626
H 0.5480 0.2788 0.7374
Cl 0.1057 0.2125 0.6134
Cl 0.1101 0.2173 0.2613
Cl 0.3405 0.7761 0.4860
Cl 0.4800 0.2979 0.8751
Cl 0.5200 0.7021 0.1249
Cl 0.6595 0.2239 0.5140
Cl 0.8899 0.7827 0.7387
Cl 0.8943 0.7875 0.3866

Record 4
A relaxed structure of K2Sb2Au. Source: Alexandria via LeMat-Bulk, functional GGA-PBE.

Output
- SG = P4/mbm

Cell lengths 7.4004, 7.4004, 5.7737 Å; angles 90.00, 90.00, 90.00 degrees
Atoms (fractional coordinates):
K 0.1673 0.3327 0.0000
K 0.3327 0.8327 0.0000
K 0.6673 0.1673 0.0000
K 0.8327 0.6673 0.0000
Sb 0.1436 0.6436 0.5000
Sb 0.3564 0.1436 0.5000
Sb 0.6436 0.8564 0.5000
Sb 0.8564 0.3564 0.5000
Au 0.0000 0.0000 0.5000
Au 0.5000 0.5000 0.5000

Record 5
A relaxed structure of Os2RuW. Source: Alexandria via LeMat-Bulk, functional GGA-PBE.

Output
- SG = P4mm

Cell lengths 3.2778, 3.2778, 5.6009 Å; angles 90.00, 90.00, 90.00 degrees
Atoms (fractional coordinates):
Os 0.0000 0.0000 0.0000
Os 0.5000 0.5000 0.2418
Ru 0.0000 0.0000 0.4886
W 0.5000 0.5000 0.7403

Record 6
A relaxed structure of HfAlIn2Sn. Source: Alexandria via LeMat-Bulk, functional GGA-PBE.

Output
- SG = P4/mmm

Cell lengths 5.5293, 5.5293, 5.2823 Å; angles 90.00, 90.00, 90.00 degrees
Atoms (fractional coordinates):
Hf 0.0000 0.0000 0.0000
Al 0.0000 0.0000 0.5000
In 0.0000 0.5000 0.0000
In 0.5000 0.0000 0.0000
Sn 0.5000 0.5000 0.5000

Record-wise energy values, in eV/atom: -6.905; -5.185; -3.855; -3.105; -10.712; -3.938